MgInIr2, optimized geometry, DFT PBE; symmetry = No. 99; energy relative to the elements = 89 meV per atom; energy above the most stable polymorph in this dataset = 336 meV per atom
1.0
3.3448 0.0000 0.0000
0.0000 3.3448 0.0000
0.0000 0.0000 5.9926
In Ir Mg
1 2 1
Direct
0.5000 0.5000 0.7626
0.0000 0.0000 0.9925
0.5000 0.5000 0.2730
0.0000 0.0000 0.4719

---

MgInIr2, optimized geometry, DFT PBE; symmetry = No. 10; energy relative to the elements = -1 meV per atom; energy above the most stable polymorph in this dataset = 246 meV per atom
1.0
4.4362 0.0000 0.0000
0.0000 2.8864 0.0310
0.0000 0.3146 5.2109
Mg In Ir
1 1 2
Direct
0.5000 0.2500 0.2500
0.5000 0.7500 0.7500
0.0000 0.0078 0.0210
0.0000 0.4922 0.4790

---

MgInIr, optimized geometry, DFT PBE; symmetry = No. 62; energy relative to the elements = -244 meV per atom
1.0
-2.1904 -2.3428 3.2137
5.5544 -1.5776 2.6356
-0.3388 7.2442 5.0501
Ir Mg In
4 4 4
Direct
0.7500 0.9953 0.8906
0.7500 0.5047 0.3906
0.2500 0.4953 0.6094
0.2500 0.0047 0.1094
0.7500 0.2438 0.6369
0.2500 0.7562 0.3631
0.2500 0.7438 0.8631
0.7500 0.2562 0.1369
0.7500 0.7399 0.6493
0.7500 0.7601 0.1493
0.2500 0.2399 0.8507
0.2500 0.2601 0.3507

---

NaMg2InIr, optimized geometry, DFT PBE; symmetry = No. 123; energy relative to the elements = -157 meV per atom
1.0
-5.0456 -0.3179 0.2406
0.3843 -4.6916 1.8596
0.1084 1.9101 4.7965
Mg In Ir Na
2 1 1 1
Direct
0.0000 0.5000 0.0000
0.5000 0.0000 0.0000
0.0000 0.0000 0.5000
0.0000 0.0000 0.0000
0.5000 0.5000 0.5000

---

Na2MgInIr, optimized geometry, DFT PBE; symmetry = No. 123; energy relative to the elements = 673 meV per atom
1.0
5.2299 0.0000 0.0000
0.0000 4.8541 0.0000
0.0000 0.0000 5.2299
Ir Na Mg In
1 2 1 1
Direct
0.0000 0.5000 0.0000
0.5000 0.0000 0.0000
0.0000 0.0000 0.5000
0.0000 0.0000 0.0000
0.5000 0.5000 0.5000

---

MgNbInIr, optimized geometry, DFT PBE; symmetry = No. 216; energy relative to the elements = -104 meV per atom
1.0
-1.2447 3.3567 2.9348
-3.2664 -0.8004 3.1811
1.1494 -0.2938 4.4746
Mg Nb Ir In
1 1 1 1
Direct
0.2500 0.2500 0.2500
0.0000 0.0000 0.0000
0.7500 0.7500 0.7500
0.5000 0.5000 0.5000

---

MgNbInIr2, optimized geometry, DFT PBE; symmetry = No. 123; energy relative to the elements = 970 meV per atom
1.0
-4.7276 -0.4475 0.8156
0.7639 -4.9225 1.7272
0.6149 1.6669 4.4788
Ir In Nb Mg
2 1 1 1
Direct
0.5000 0.0000 0.0000
0.0000 0.0000 0.5000
0.0000 0.5000 0.0000
0.0000 0.0000 0.0000
0.5000 0.5000 0.5000

---

Mg3In3NiIr2, optimized geometry, DFT PBE; symmetry = No. 189; energy relative to the elements = -241 meV per atom
1.0
-1.0664 -0.8788 2.8563
4.2069 -6.3821 -0.3930
2.9662 6.3563 3.0632
In Mg Ni Ir
3 3 1 2
Direct
0.5000 0.7232 0.0000
0.5000 0.2768 0.2768
0.5000 0.0000 0.7232
0.0000 0.3912 0.0000
0.0000 0.0000 0.3912
0.0000 0.6088 0.6088
0.0000 0.0000 0.0000
0.5000 0.6667 0.3333
0.5000 0.3333 0.6667

---

MgIn2IrO8, optimized geometry, DFT PBE; symmetry = No. 10
1.0
-3.8912 -2.7829 0.9369
2.7548 -3.8049 -1.2046
1.8929 -0.5766 6.1506
O Mg Ir In
8 1 1 2
Direct
0.7081 0.7140 0.0000
0.1778 0.8164 0.2160
0.8222 0.1836 0.2160
0.1778 0.8164 0.7840
0.8222 0.1836 0.7840
0.2919 0.2860 0.0000
0.2942 0.2894 0.5000
0.7058 0.7106 0.5000
0.0000 0.0000 0.5000
0.0000 0.0000 0.0000
0.5000 0.5000 0.7427
0.5000 0.5000 0.2573

---

Mg2InIrO6, optimized geometry, DFT PBE; symmetry = No. 146
1.0
-4.5391 -2.4965 1.0507
-0.8833 -4.8219 -1.9762
0.1474 -4.3750 3.5401
O Mg In Ir
6 2 1 1
Direct
0.2270 0.9375 0.2452
0.5901 0.2270 0.2453
0.1282 0.3984 0.7636
0.3984 0.7097 0.7634
0.7098 0.1284 0.7634
0.9376 0.5904 0.2453
0.5251 0.5250 0.4252
0.0165 0.0165 0.9503
0.8077 0.8076 0.5769
0.3212 0.3211 0.0364

---

MgPaInIr, optimized geometry, DFT PBE; symmetry = No. 216; energy relative to the elements = -209 meV per atom
1.0
4.9213 0.0000 0.0000
2.4606 4.2619 0.0000
2.4606 1.4206 4.0182
Pa In Mg Ir
1 1 1 1
Direct
0.7500 0.7500 0.7500
0.5000 0.5000 0.5000
0.2500 0.2500 0.2500
0.0000 0.0000 0.0000

---

Mg5In2IrPd2, optimized geometry, DFT PBE; symmetry = No. 127; energy relative to the elements = -382 meV per atom
1.0
3.1900 0.0000 0.0000
0.0000 11.0501 0.0000
0.0000 0.0000 11.0501
Pd Mg Ir In
4 10 2 4
Direct
0.0000 0.8626 0.3626
0.0000 0.1374 0.6374
0.0000 0.6374 0.8626
0.0000 0.3626 0.1374
0.5000 0.6895 0.4487
0.5000 0.3105 0.5513
0.5000 0.1895 0.0513
0.5000 0.4487 0.3105
0.5000 0.0513 0.8105
0.5000 0.8105 0.9487
0.5000 0.9487 0.1895
0.5000 0.5000 0.0000
0.5000 0.5513 0.6895
0.5000 0.0000 0.5000
0.0000 0.5000 0.5000
0.0000 0.0000 0.0000
0.0000 0.3230 0.8230
0.0000 0.8230 0.6770
0.0000 0.1770 0.3230
0.0000 0.6770 0.1770

---

Mg3In3Ir2Pd, optimized geometry, DFT PBE; symmetry = No. 189; energy relative to the elements = -329 meV per atom
1.0
3.1776 0.0000 0.0000
0.0000 7.7606 0.0000
0.0000 -3.8803 6.7209
In Mg Pd Ir
3 3 1 2
Direct
0.5000 0.0000 0.7077
0.5000 0.7077 0.0000
0.5000 0.2923 0.2923
0.0000 0.3846 0.0000
0.0000 0.0000 0.3846
0.0000 0.6154 0.6154
0.0000 0.0000 0.0000
0.5000 0.3333 0.6667
0.5000 0.6667 0.3333

---

Mg5In2Ir2Pd, optimized geometry, DFT PBE; symmetry = No. 127; energy relative to the elements = -299 meV per atom
1.0
4.1011 0.0000 0.0000
0.0000 9.5904 0.0000
0.0000 0.0000 9.5904
Mg Ir In Pd
10 4 4 2
Direct
0.5000 0.7998 0.9246
0.5000 0.0000 0.5000
0.5000 0.2002 0.0754
0.5000 0.2998 0.5754
0.5000 0.9246 0.2002
0.5000 0.5754 0.7002
0.5000 0.7002 0.4246
0.5000 0.0754 0.7998
0.5000 0.5000 0.0000
0.5000 0.4246 0.2998
0.0000 0.1229 0.6229
0.0000 0.8771 0.3771
0.0000 0.6229 0.8771
0.0000 0.3771 0.1229
0.0000 0.8276 0.6724
0.0000 0.3276 0.8276
0.0000 0.1724 0.3276
0.0000 0.6724 0.1724
0.0000 0.5000 0.5000
0.0000 0.0000 0.0000

---

Mg3In3Ir2Pt, optimized geometry, DFT PBE; symmetry = No. 189; energy relative to the elements = -361 meV per atom
1.0
-3.2048 0.1549 -0.1567
-0.0529 -5.9618 -4.8105
-0.4263 -1.1731 7.5583
Mg In Ir Pt
3 3 2 1
Direct
0.5000 0.2792 0.2792
0.5000 0.7208 0.0000
0.5000 0.0000 0.7208
0.0000 0.0000 0.3825
0.0000 0.3825 0.0000
0.0000 0.6175 0.6175
0.5000 0.6667 0.3333
0.5000 0.3333 0.6667
0.0000 0.0000 0.0000

---

Mg3In3IrPt2, optimized geometry, DFT PBE; symmetry = No. 189; energy relative to the elements = -480 meV per atom
1.0
3.3066 0.0000 0.0000
0.0000 7.6939 0.0000
0.0000 -3.8470 6.6631
Mg Pt In Ir
3 2 3 1
Direct
0.0000 0.3845 0.0000
0.0000 0.0000 0.3845
0.0000 0.6155 0.6155
0.5000 0.6667 0.3333
0.5000 0.3333 0.6667
0.5000 0.2839 0.2839
0.5000 0.7161 0.0000
0.5000 0.0000 0.7161
0.0000 0.0000 0.0000

---

RbMg2InIr, optimized geometry, DFT PBE; symmetry = No. 123; energy relative to the elements = -169 meV per atom
1.0
-3.0993 1.8947 3.7151
-2.9510 -4.2671 -0.2856
2.9704 -2.2986 3.6504
In Ir Mg Rb
1 1 2 1
Direct
0.0000 0.0000 0.5000
0.0000 0.0000 0.0000
0.5000 0.0000 0.0000
0.0000 0.5000 0.0000
0.5000 0.5000 0.5000

---

Mg5In2IrRh2, optimized geometry, DFT PBE; symmetry = No. 127; energy relative to the elements = -286 meV per atom
1.0
3.1069 0.0000 0.0000
0.0000 11.0856 0.0000
0.0000 0.0000 11.0856
Mg In Rh Ir
10 4 4 2
Direct
0.5000 0.1913 0.0498
0.5000 0.8087 0.9502
0.5000 0.4502 0.3087
0.5000 0.6913 0.4502
0.5000 0.0000 0.5000
0.5000 0.0498 0.8087
0.5000 0.5000 0.0000
0.5000 0.5498 0.6913
0.5000 0.9502 0.1913
0.5000 0.3087 0.5498
0.0000 0.8175 0.6825
0.0000 0.6825 0.1825
0.0000 0.1825 0.3175
0.0000 0.3175 0.8175
0.0000 0.3610 0.1390
0.0000 0.6390 0.8610
0.0000 0.1390 0.6390
0.0000 0.8610 0.3610
0.0000 0.0000 0.0000
0.0000 0.5000 0.5000

---

Mg3In3Ir2Rh, optimized geometry, DFT PBE; symmetry = No. 189; energy relative to the elements = -307 meV per atom
1.0
3.1569 0.0000 0.0000
0.0000 7.7345 0.0000
0.0000 -3.8673 6.6983
Mg Ir In Rh
3 2 3 1
Direct
0.0000 0.6155 0.6155
0.0000 0.3845 0.0000
0.0000 0.0000 0.3845
0.5000 0.6667 0.3333
0.5000 0.3333 0.6667
0.5000 0.0000 0.7113
0.5000 0.7113 0.0000
0.5000 0.2887 0.2887
0.0000 0.0000 0.0000

---

MgIn2Ir2S6, optimized geometry, DFT PBE; symmetry = No. 12
1.0
-1.2382 -2.3146 5.8284
-2.0742 -3.0163 -5.2402
6.5763 -1.5903 -0.3959
In S Ir Mg
2 6 2 1
Direct
0.8396 0.1604 0.0000
0.1604 0.8396 0.0000
0.4237 0.0611 0.6982
0.5763 0.9389 0.3018
0.2811 0.2811 0.3047
0.7189 0.7189 0.6953
0.0611 0.4237 0.6982
0.9389 0.5763 0.3018
0.3312 0.6688 0.5000
0.6688 0.3312 0.5000
0.0000 0.0000 0.5000

---

Total energy per entry: -5.43 -5.51 -4.64 -3.38 -2.49 -5.92 -5.45 -4.30 -5.79 -6.12 -5.88 -3.65 -4.32 -3.94 -4.45 -4.25 -3.32 -3.99 -4.54 -5.00 eV/atom